#w
A relaxed structure of HfFe2HIr, computed with GGA-PBE.

Lattice parameters (Å, degrees): 3.8736 3.8736 3.9576 90.00 90.00 90.00
Fractional positions:
H 0.0000 0.0000 0.0000
Ir 0.0000 0.0000 0.5000
Hf 0.5000 0.5000 0.5000
Fe 0.0000 0.5000 0.0000
Fe 0.5000 0.0000 0.0000

The density of states at the Fermi level comes out at 4.27 states/eV/f.u. The total moment comes out at 3.7 μB per formula unit. As for the space-group type: No. 123. The calculation puts the volume at 11.9 Å³/atom. The crystal system is tetragonal.

#x
A relaxed structure of HfFe2HIr, computed with GGA-PBE.

Lattice parameters (Å, degrees): 3.7731 3.7731 4.1948 90.00 90.00 90.00
Fractional positions:
H 0.0000 0.0000 0.0000
Ir 0.5000 0.5000 0.5000
Hf 0.0000 0.0000 0.5000
Fe 0.0000 0.5000 0.0000
Fe 0.5000 0.0000 0.0000

The density of states at the Fermi level comes out at 4.02 states/eV/f.u. The total moment comes out at 3.9 μB per formula unit. As for the space-group type: No. 123. The calculation puts the volume at 11.9 Å³/atom. The crystal system is tetragonal.

Most stable: #x. Least stable: #w.